1.
LaSb | PBE-GGA | optimized geometry

Computed properties:
Magnetization in μB/cell: 0.00
DOS(E_F) in states/eV/f.u.: 0.38
Mass density in g/cm3: 6.57
E_form (uncorrected) in meV per atom: -1157

Cell lengths 6.512, 6.512, 4.949 Å; angles 90.00, 90.00, 141.13 degrees
Element x y z (fractional)
La 0.123 0.877 0.750
La 0.877 0.123 0.250
Sb 0.386 0.614 0.750
Sb 0.614 0.386 0.250


2.
Li3AlP | PBE-GGA | optimized geometry

Computed properties:
Magnetization in μB/cell: 0.00
Formation energy in kcal/mol of atoms: -2.17
DOS(E_F) in states/eV/f.u.: 2.65
Mass density in g/cm3: 1.31
Excess energy over the best structure of this formula in the dataset in meV per atom: 0

Cell lengths 4.641, 4.641, 4.641 Å; angles 90.00, 90.00, 90.00 degrees
Element x y z (fractional)
Li 0.000 0.000 0.500
Li 0.000 0.500 0.000
Li 0.500 0.000 0.000
Al 0.500 0.500 0.500
P 0.000 0.000 0.000


Repeat the first record exactly.
LaSb | PBE-GGA | optimized geometry

Computed properties:
Magnetization in μB/cell: 0.00
DOS(E_F) in states/eV/f.u.: 0.38
Mass density in g/cm3: 6.57
E_form (uncorrected) in meV per atom: -1157

Cell lengths 6.512, 6.512, 4.949 Å; angles 90.00, 90.00, 141.13 degrees
Element x y z (fractional)
La 0.123 0.877 0.750
La 0.877 0.123 0.250
Sb 0.386 0.614 0.750
Sb 0.614 0.386 0.250


Question: Which value of DOS(E_F) does entry 1 give?
Answer: 0.38 states/eV/f.u.